Computed, not measured: an optimized crystal structure of GdYCu2 at the PBE-GGA level of DFT.

It has space group Pmc2_1 (No. 26), with a = 4.436 Å, b = 5.431 Å, c = 7.159 Å, α = 90.00°, β = 90.00° and γ = 90.00°. The asymmetric unit holds Gd at (0.000, 0.119, 0.000), Y at (0.500, 0.382, 0.639), Cu at (0.000, 0.375, 0.354) and Cu at (0.500, 0.127, 0.286).

The value obtained for the total magnetization is 0.0 μB per cell. For the total DFT energy (no corrections), the calculation gives -0.1797 hartree per atom. As for the energy of formation: -0.25 eV per atom.